VASP calculation (PBE-GGA) on a relaxed structure of Cs2KCdCl5.

The calculation puts the total energy at -3.092 eV per atom. For the magnetization, the calculation gives 0.00 μB per formula unit. The energy relative to the elements, uncorrected is -1.652 eV/atom.

It has space group Immm (No. 71), with a = 5.2215 Å, b = 7.6068 Å, c = 16.4008 Å, α = 90.00°, β = 90.00° and γ = 90.00°. The distinct sites, in fractional coordinates, are Cs at (0.0000, 0.0000, 0.2067), K at (0.0000, 0.5000, 0.0000), Cd at (0.0000, 0.5000, 0.5000), Cl at (0.0000, 0.0000, 0.0000) and Cl at (0.0000, 0.2498, 0.3846).